The following is a GGA-PBE calculation of crystalline Pm3Y2Ho6 at its relaxed geometry, from the Alexandria database.

Properties
Calculated volume (Å³/f.u.): 375
ΔE_f (eV per atom): 0.279
Symmetry: I4/mmm
VASP energy (eV/atom): -4.6891

Cell lengths 4.7414, 4.7414, 17.0328 Å; angles 98.00, 98.00, 90.00 degrees
Atoms (fractional coordinates):
Pm (0.0000, 0.0000, 0.0000)
Pm (0.7974, 0.7974, 0.5948)
Pm (0.2026, 0.2026, 0.4052)
Ho (0.3784, 0.8784, 0.7567)
Ho (0.3055, 0.3055, 0.6110)
Ho (0.6216, 0.1216, 0.2433)
Ho (0.6945, 0.6945, 0.3890)
Ho (0.8784, 0.3784, 0.7567)
Ho (0.1216, 0.6216, 0.2433)
Y (0.5464, 0.5464, 0.0928)
Y (0.4536, 0.4536, 0.9072)

The following is a GGA-PBE calculation of crystalline Pm2Y5Ho3 at its relaxed geometry, from the Alexandria database.

Properties
Calculated volume (Å³/f.u.): 332
ΔE_f (eV per atom): 0.187
Symmetry: C2/c
VASP energy (eV/atom): -5.3686

Cell lengths 9.3483, 9.3694, 11.1471 Å; angles 124.49, 124.44, 69.63 degrees
Atoms (fractional coordinates):
Y (0.6097, 0.8559, 0.2355)
Y (0.1258, 0.3796, 0.2355)
Y (0.8742, 0.6204, 0.7645)
Y (0.4761, 0.7261, 0.4522)
Y (0.7222, 0.4722, 0.9444)
Y (0.2778, 0.5278, 0.0556)
Y (0.3903, 0.1441, 0.7645)
Y (0.0199, 0.7699, 0.5397)
Y (0.9801, 0.2301, 0.4603)
Y (0.5239, 0.2739, 0.5478)
Pm (0.2218, 0.9823, 0.2487)
Pm (0.7782, 0.0177, 0.7513)
Pm (0.5268, 0.2663, 0.2487)
Pm (0.4732, 0.7337, 0.7513)
Ho (0.9849, 0.2236, 0.7579)
Ho (0.7270, 0.4657, 0.2421)
Ho (0.2730, 0.5343, 0.7579)
Ho (0.0151, 0.7764, 0.2421)
Ho (0.7755, 0.0255, 0.0509)
Ho (0.2245, 0.9745, 0.9491)

The following is a GGA-PBE calculation of crystalline Pm2Y3Ho7 at its relaxed geometry, from the Alexandria database.

Properties
Calculated volume (Å³/f.u.): 386
ΔE_f (eV per atom): 0.086
Symmetry: P2/m
VASP energy (eV/atom): -4.9923

Cell lengths 3.5900, 5.7769, 18.6643 Å; angles 93.56, 90.00, 90.00 degrees
Atoms (fractional coordinates):
Y (0.0000, 0.7780, 0.6310)
Y (0.0000, 0.2220, 0.3690)
Y (0.5000, 0.5000, 0.0000)
Ho (0.5000, 0.1868, 0.1749)
Ho (0.5000, 0.7420, 0.4621)
Ho (0.5000, 0.8132, 0.8251)
Ho (0.0000, 0.3146, 0.8575)
Ho (0.5000, 0.2580, 0.5379)
Ho (0.0000, 0.0000, 0.0000)
Ho (0.0000, 0.6854, 0.1425)
Pm (0.5000, 0.2921, 0.7065)
Pm (0.5000, 0.7079, 0.2935)

The following is a GGA-PBE calculation of crystalline PmYHo2 at its relaxed geometry, from the Alexandria database.

Properties
Calculated volume (Å³/f.u.): 129
ΔE_f (eV per atom): 0.023
Symmetry: P4/mmm
VASP energy (eV/atom): -5.0698

Cell lengths 3.5696, 3.5696, 10.0941 Å; angles 90.00, 90.00, 90.00 degrees
Atoms (fractional coordinates):
Pm (0.5000, 0.5000, 0.0000)
Ho (0.0000, 0.0000, 0.2518)
Ho (0.0000, 0.0000, 0.7482)
Y (0.5000, 0.5000, 0.5000)

The following is a GGA-PBE calculation of crystalline Pm6Y5Ho at its relaxed geometry, from the Alexandria database.

Properties
Calculated volume (Å³/f.u.): 396
ΔE_f (eV per atom): 0.011
Symmetry: C2/m
VASP energy (eV/atom): -5.4392

Cell lengths 11.8632, 6.2616, 6.2601 Å; angles 59.99, 84.97, 79.91 degrees
Atoms (fractional coordinates):
Y (0.0000, 0.6667, 0.6667)
Y (0.0000, 0.3333, 0.3333)
Y (0.5000, 0.1666, 0.6667)
Y (0.5000, 0.8334, 0.3333)
Y (0.5000, 0.5000, 0.0000)
Ho (0.0000, 0.0000, 0.0000)
Pm (0.7504, 0.0828, 0.3325)
Pm (0.7504, 0.4153, 0.6675)
Pm (0.2496, 0.9172, 0.6675)
Pm (0.7505, 0.7506, 0.0000)
Pm (0.2496, 0.5847, 0.3325)
Pm (0.2495, 0.2494, 0.0000)

The following is a GGA-PBE calculation of crystalline PmY2Ho9 at its relaxed geometry, from the Alexandria database.

Properties
Calculated volume (Å³/f.u.): 381
ΔE_f (eV per atom): 0.050
Symmetry: P6/mmm
VASP energy (eV/atom): -4.8569

Cell lengths 3.4942, 11.2143, 11.2143 Å; angles 120.00, 90.00, 90.00 degrees
Atoms (fractional coordinates):
Ho (0.0000, 0.5000, 0.5000)
Ho (0.5000, 0.8229, 0.6459)
Ho (0.5000, 0.6459, 0.8229)
Ho (0.5000, 0.3541, 0.1771)
Ho (0.0000, 0.0000, 0.5000)
Ho (0.5000, 0.1771, 0.3541)
Ho (0.0000, 0.5000, 0.0000)
Ho (0.5000, 0.1771, 0.8229)
Ho (0.5000, 0.8229, 0.1771)
Y (0.0000, 0.6667, 0.3333)
Y (0.0000, 0.3333, 0.6667)
Pm (0.0000, 0.0000, 0.0000)

The following is a GGA-PBE calculation of crystalline Pm5YHo3 at its relaxed geometry, from the Alexandria database.

Properties
Calculated volume (Å³/f.u.): 297
ΔE_f (eV per atom): 0.062
Symmetry: C2/c
VASP energy (eV/atom): -4.8212

Cell lengths 9.8447, 6.6950, 13.3697 Å; angles 94.53, 90.00, 137.33 degrees
Atoms (fractional coordinates):
Ho (0.6689, 0.3356, 0.8315)
Ho (0.6667, 0.3356, 0.3315)
Ho (0.3311, 0.6644, 0.1685)
Ho (0.3333, 0.6644, 0.6685)
Ho (0.0000, 0.0000, 0.5000)
Ho (0.0000, 0.0000, 0.0000)
Pm (0.5079, 0.6623, 0.9174)
Pm (0.4921, 0.3377, 0.0826)
Pm (0.1794, 0.6690, 0.9188)
Pm (0.8402, 0.0000, 0.2500)
Pm (0.8206, 0.3310, 0.0812)
Pm (0.1598, 0.0000, 0.7500)
Pm (0.1544, 0.6623, 0.4174)
Pm (0.5103, 0.3310, 0.5812)
Pm (0.8456, 0.3377, 0.5826)
Pm (0.4897, 0.6690, 0.4188)
Y (0.8237, 0.0000, 0.7500)
Y (0.1763, 0.0000, 0.2500)

The following is a GGA-PBE calculation of crystalline Pm5Y3Ho4 at its relaxed geometry, from the Alexandria database.

Properties
Calculated volume (Å³/f.u.): 402
ΔE_f (eV per atom): 0.231
Symmetry: C2/m
VASP energy (eV/atom): -4.8902

Cell lengths 5.8100, 5.6881, 14.4593 Å; angles 84.41, 78.41, 59.29 degrees
Atoms (fractional coordinates):
Pm (0.1996, 0.3481, 0.2527)
Pm (0.8004, 0.6519, 0.7473)
Pm (0.5000, 0.5000, 0.5000)
Pm (0.3310, 0.3360, 0.0020)
Pm (0.6690, 0.6640, 0.9980)
Y (0.5422, 0.6652, 0.2504)
Y (0.4578, 0.3348, 0.7496)
Y (0.0000, 0.5000, 0.5000)
Ho (0.0630, 0.9977, 0.8763)
Ho (0.9370, 0.0023, 0.1237)
Ho (0.1807, 0.9945, 0.6441)
Ho (0.8193, 0.0055, 0.3559)